This record from Alexandria via LeMat-Bulk describes a geometry-optimized YMgTe2N structure. The functional is PBEsol.

Values from the calculation:
formation energy without anion corrections: 0.0287 eV per atom
crystal system: tetragonal

a = 5.949 Å, b = 5.949 Å, c = 4.043 Å
α = 90.00°, β = 90.00°, γ = 90.00°
Fractional coordinates of all 5 atoms:
Y 0.000 0.000 0.000
Mg 0.500 0.500 0.500
Te 0.000 0.500 0.000
Te 0.500 0.000 0.000
N 0.000 0.000 0.500